1.
Crystalline Y2CoBr at its relaxed geometry. Source: the Alexandria database, functional PBEsol.

Summary:
Formation energy (no corrections) ... -0.4673 eV per atom
Size of the total moment ... 0.00 μB/f.u.
E_tot ... -6.28 eV per atom

```
Y2CoBr
1.0
-0.5597 2.2257 -3.1931
-3.2219 -2.0749 -0.8816
-3.1385 3.5797 3.0452
Y Co Br
2 1 1
Direct
0.0000 0.0000 0.8752
0.5000 0.5000 0.3743
0.5000 0.5000 0.8752
0.0000 0.0000 0.3754
```

2.
Crystalline Y2CoBr at its relaxed geometry. Source: the Alexandria database, functional PBEsol.

Summary:
Formation energy (no corrections) ... -0.3211 eV per atom
Size of the total moment ... 0.15 μB/f.u.
E_tot ... -6.13 eV per atom

```
Y2CoBr
1.0
3.2774 0.0717 0.0747
-0.5037 5.0040 -0.0359
-0.5037 -0.2406 4.9984
Y Co Br
2 1 1
Direct
0.0000 0.5000 0.0000
0.0000 0.0000 0.5000
0.5000 0.5000 0.5000
0.5000 0.0000 0.0000
```

3.
Crystalline YCoBr4 at its relaxed geometry. Source: the Alexandria database, functional PBEsol.

Summary:
Formation energy (no corrections) ... 0.5335 eV per atom
Size of the total moment ... 1.61 μB/f.u.
E_tot ... -3.14 eV per atom

```
YCoBr4
1.0
-4.1674 -3.7366 -2.1640
1.4130 -3.8655 -4.3673
0.3316 -5.8738 1.1832
Y Co Br
1 1 4
Direct
0.0000 0.0000 0.0000
0.7500 0.7500 0.7500
0.3755 0.3755 0.3755
0.3755 0.3755 0.8736
0.8736 0.3755 0.3755
0.3755 0.8736 0.3755
```

4.
Crystalline ZnCoBr2 at its relaxed geometry. Source: the Alexandria database, functional PBEsol.

Summary:
Formation energy (no corrections) ... -0.0041 eV per atom
Size of the total moment ... 0.12 μB/f.u.
E_tot ... -3.27 eV per atom

```
ZnCoBr2
1.0
6.0141 1.2237 1.8366
-1.5735 5.9322 -1.8366
-1.5735 -3.9793 4.7675
Zn Co Br
2 2 4
Direct
0.5000 0.7500 0.2500
0.0000 0.0000 0.0000
0.5000 0.2500 0.7500
0.0000 0.5000 0.5000
0.8518 0.4768 0.1250
0.1482 0.2732 0.6250
0.3518 0.8750 0.7268
0.6482 0.3750 0.5232
```

5.
Crystalline ZnCoBr2 at its relaxed geometry. Source: the Alexandria database, functional PBEsol.

Summary:
Formation energy (no corrections) ... 0.4397 eV per atom
Size of the total moment ... 1.99 μB/f.u.
E_tot ... -2.83 eV per atom

```
ZnCoBr2
1.0
-0.9324 4.5145 -0.7798
-3.3105 2.1673 2.4903
1.1937 3.2161 3.1765
Br Co Zn
2 1 1
Direct
0.2500 0.2500 0.2500
0.7500 0.7500 0.7500
0.5000 0.5000 0.5000
0.0000 0.0000 0.0000
```

6.
Crystalline ZnCoBr2 at its relaxed geometry. Source: the Alexandria database, functional PBEsol.

Summary:
Formation energy (no corrections) ... 0.0182 eV per atom
Size of the total moment ... 0.35 μB/f.u.
E_tot ... -3.25 eV per atom

```
ZnCoBr2
1.0
-0.4384 2.8410 -1.7346
-4.1854 0.0619 -2.0901
-4.3485 3.5163 3.6089
Br Co Zn
2 1 1
Direct
0.0167 0.8632 0.1034
0.8604 0.6326 0.6465
0.4471 0.7308 0.3750
0.1758 0.2734 0.3751
```